Material: Dy3InRh2
Method: DFT, GGA-PBE
State: relaxed

The structure in CIF format:
```
data_Dy3InRh2
_chemical_formula_sum 'Dy3 In1 Rh2'
_cell_length_a 3.367
_cell_length_b 3.367
_cell_length_c 11.908
_cell_angle_alpha 90.00
_cell_angle_beta 90.00
_cell_angle_gamma 90.00
_space_group_name_H-M_alt 'P 4/m m m'
_space_group_IT_number 123
_space_group_name_Hall '-P 4 2'
loop_
_atom_site_label
_atom_site_fract_x
_atom_site_fract_y
_atom_site_fract_z
Dy1 0.000 0.000 0.000
Dy2 0.000 0.000 0.295
In1 0.500 0.500 0.500
Rh1 0.500 0.500 0.150
```

## Properties
Crystal system ... tetragonal
N(E_F) ... 4.32 states/eV/f.u.
Energy relative to the elements ... -0.73 eV/atom
ρ ... 9.94 g/cm³
M_tot ... 0.00 μB per atom